No. 1
A plane-wave DFT calculation with GGA-PBE was carried out for crystalline Ti2ZnCd at its relaxed geometry.

Structure (CIF):
```
data_Ti2ZnCd
_chemical_formula_sum 'Ti2 Zn1 Cd1'
_cell_length_a 3.206
_cell_length_b 3.206
_cell_length_c 6.686
_cell_angle_alpha 90.00
_cell_angle_beta 90.00
_cell_angle_gamma 90.00
_space_group_name_H-M_alt 'P 4/m m m'
_space_group_IT_number 123
_space_group_name_Hall '-P 4 2'
loop_
_atom_site_label
_atom_site_fract_x
_atom_site_fract_y
_atom_site_fract_z
_atom_site_occupancy
Ti1 0.000 0.000 0.229 1
Zn1 0.500 0.500 0.000 1
Cd1 0.500 0.500 0.500 1
```

Properties
total magnetization = 0.00 μB/atom
D(E_F) = 2.61 states/eV/cell
E_tot = -4.53 eV/atom
polymorph energy (0 for the lowest one) = 42 meV per atom
ΔH_f (0 K) = -0.038 eV/atom


No. 2
A plane-wave DFT calculation with GGA-PBE was carried out for crystalline Al2TlInTc at its relaxed geometry.

Structure (CIF):
```
data_Al2TlInTc
_chemical_formula_sum 'Al2 Tl1 In1 Tc1'
_cell_length_a 5.123
_cell_length_b 5.123
_cell_length_c 5.277
_cell_angle_alpha 90.00
_cell_angle_beta 90.00
_cell_angle_gamma 90.00
_space_group_name_H-M_alt 'P 4/m m m'
_space_group_IT_number 123
_space_group_name_Hall '-P 4 2'
loop_
_atom_site_label
_atom_site_fract_x
_atom_site_fract_y
_atom_site_fract_z
_atom_site_occupancy
Al1 0.000 0.500 0.000 1
Tl1 0.000 0.000 0.500 1
In1 0.500 0.500 0.000 1
Tc1 0.500 0.500 0.500 1
```

Properties
total magnetization = 0.59 μB/atom
D(E_F) = 3.45 states/eV/cell
E_tot = -3.40 eV/atom
ΔH_f (0 K) = 1.188 eV/atom


No. 3
A plane-wave DFT calculation with GGA-PBE was carried out for crystalline TlPt2Pb at its relaxed geometry.

Structure (CIF):
```
data_TlPt2Pb
_chemical_formula_sum 'Tl2 Pt4 Pb2'
_cell_length_a 3.460
_cell_length_b 4.382
_cell_length_c 11.459
_cell_angle_alpha 90.00
_cell_angle_beta 90.00
_cell_angle_gamma 90.00
_space_group_name_H-M_alt 'I m m 2'
_space_group_IT_number 44
_space_group_name_Hall 'I 2 -2'
loop_
_atom_site_label
_atom_site_fract_x
_atom_site_fract_y
_atom_site_fract_z
_atom_site_occupancy
Tl1 0.000 0.000 0.000 1
Pt1 0.000 0.000 0.484 1
Pt2 0.000 0.500 0.181 1
Pb1 0.000 0.500 0.770 1
```

Properties
total magnetization = 0.00 μB/atom
D(E_F) = 3.96 states/eV/cell
E_tot = -4.51 eV/atom
ΔH_f (0 K) = 0.029 eV/atom


No. 4
A plane-wave DFT calculation with GGA-PBE was carried out for crystalline Pr2HgSb at its relaxed geometry.

Structure (CIF):
```
data_Pr2HgSb
_chemical_formula_sum 'Pr6 Hg3 Sb3'
_cell_length_a 4.4456
_cell_length_b 4.4456
_cell_length_c 23.2609
_cell_angle_alpha 90.00
_cell_angle_beta 90.00
_cell_angle_gamma 120.00
_space_group_name_H-M_alt 'R -3 m'
_space_group_IT_number 166
_space_group_name_Hall '-R 3 2"'
loop_
_atom_site_label
_atom_site_fract_x
_atom_site_fract_y
_atom_site_fract_z
_atom_site_occupancy
Pr1 0.0000 0.0000 0.2455 1
Hg1 0.0000 0.0000 0.0000 1
Sb1 0.0000 0.0000 0.5000 1
```

Properties
total magnetization = 0.00 μB/atom
D(E_F) = 14.76 states/eV/cell
ΔE_f (raw) = -0.73 eV/atom
E_tot = -4.23 eV/atom
polymorph energy (0 for the lowest one) = 42 meV per atom